(1)
Density functional theory data (PBE-GGA) for a relaxed AcCe crystal.

CIF file:
```
data_AcCe
_chemical_formula_sum 'Ac1 Ce1'
_symmetry_space_group_name_H-M 'P m -3 m'
_symmetry_Int_Tables_number 221
_symmetry_space_group_name_Hall '-P 4 2 3'
_cell_length_a 4.237
_cell_length_b 4.237
_cell_length_c 4.237
_cell_angle_alpha 90.00
_cell_angle_beta 90.00
_cell_angle_gamma 90.00
loop_
_atom_site_label
_atom_site_fract_x
_atom_site_fract_y
_atom_site_fract_z
_atom_site_occupancy
Ac1 0.000 0.000 0.000 1
Ce1 0.500 0.500 0.500 1
```

size of the total moment	1.12	μB per atom
N(E_F)	7.7	states/eV/f.u.
energy relative to the lowest polymorph listed for this composition	139	meV/atom
calculated formation energy	296	meV/atom
raw total energy	-9.4	eV/f.u.

***

(2)
Density functional theory data (PBE-GGA) for a relaxed Ac3Ce crystal.

CIF file:
```
data_Ac3Ce
_chemical_formula_sum 'Ac3 Ce1'
_symmetry_space_group_name_H-M 'P m -3 m'
_symmetry_Int_Tables_number 221
_symmetry_space_group_name_Hall '-P 4 2 3'
_cell_length_a 5.483
_cell_length_b 5.483
_cell_length_c 5.483
_cell_angle_alpha 90.00
_cell_angle_beta 90.00
_cell_angle_gamma 90.00
loop_
_atom_site_label
_atom_site_fract_x
_atom_site_fract_y
_atom_site_fract_z
_atom_site_occupancy
Ac1 0.000 0.000 0.500 1
Ce1 0.500 0.500 0.500 1
```

size of the total moment	0.38	μB per atom
N(E_F)	11.2	states/eV/f.u.
calculated formation energy	117	meV/atom
raw total energy	-17.8	eV/f.u.

***

(3)
Density functional theory data (PBE-GGA) for a relaxed Ac3Ce crystal.

CIF file:
```
data_Ac3Ce
_chemical_formula_sum 'Ac12 Ce4'
_symmetry_space_group_name_H-M 'F m -3 m'
_symmetry_Int_Tables_number 225
_symmetry_space_group_name_Hall '-F 4 2 3'
_cell_length_a 8.786
_cell_length_b 8.786
_cell_length_c 8.786
_cell_angle_alpha 90.00
_cell_angle_beta 90.00
_cell_angle_gamma 90.00
loop_
_atom_site_label
_atom_site_fract_x
_atom_site_fract_y
_atom_site_fract_z
_atom_site_occupancy
Ac1 0.000 0.000 0.000 1
Ac2 0.250 0.250 0.250 1
Ce1 0.000 0.000 0.500 1
```

size of the total moment	0.83	μB per atom
N(E_F)	11.4	states/eV/f.u.
calculated formation energy	236	meV/atom
raw total energy	-17.3	eV/f.u.

***

Q: What is the formula in the second record?
A: Ac3Ce